Entry 1:
An optimized crystal structure of ZnTeHPd2. Source: Alexandria via LeMat-Bulk, functional PBE.

V = 14.61 Å³ per atom
M_tot = 0.00 μB/cell
electronic total energy = -18.495 eV for the cell shown
DOS at the Fermi energy = 0.34 states/eV per atom

Structure (POSCAR):
```
ZnTeHPd2
1.0
4.2402 0.0000 0.0000
0.0000 4.2402 0.0000
0.0000 0.0000 4.0642
Zn Te H Pd
1 1 1 2
direct
0.0000 0.0000 0.0000
0.5000 0.5000 0.0000
0.0000 0.0000 0.5000
0.0000 0.5000 0.5000
0.5000 0.0000 0.5000
```

=====

Entry 2:
An optimized crystal structure of CoNi2PtS6. Source: Alexandria via LeMat-Bulk, functional PBE.

V = 16.46 Å³ per atom
M_tot = 0.00 μB/cell
electronic total energy = -104.688 eV for the cell shown
DOS at the Fermi energy = 0.73 states/eV per atom
uncorrected formation energy = -28 kJ per mole of atoms

Structure (POSCAR):
```
CoNi2PtS6
1.0
5.5045 -5.1607 0.0000
5.5045 5.1607 0.0000
-1.3569 0.0000 5.7957
Co Ni Pt S
2 4 2 12
direct
0.0869 0.9131 0.7500
0.9131 0.0869 0.2500
0.2213 0.4026 0.6830
0.4026 0.2213 0.1830
0.5974 0.7787 0.8170
0.7787 0.5974 0.3170
0.2600 0.7400 0.2500
0.7400 0.2600 0.7500
0.0280 0.1879 0.6213
0.1065 0.6442 0.8635
0.1879 0.0280 0.1213
0.3006 0.4567 0.3790
0.3558 0.8935 0.6365
0.4567 0.3006 0.8790
0.5433 0.6994 0.1210
0.6442 0.1065 0.3635
0.6994 0.5433 0.6210
0.8121 0.9720 0.8787
0.8935 0.3558 0.1365
0.9720 0.8121 0.3787
```

=====

Entry 3:
An optimized crystal structure of AgBiW3. Source: Alexandria via LeMat-Bulk, functional PBE.

V = 23.06 Å³ per atom
M_tot = 0.00 μB/cell
electronic total energy = -32.304 eV for the cell shown
DOS at the Fermi energy = 2.04 states/eV per atom
excess energy over the best structure of this formula in the dataset = 0.00 eV/f.u.
formation enthalpy at 0 K = 13.3 eV/f.u.

Structure (POSCAR):
```
AgBiW3
1.0
4.8672 0.0000 0.0000
0.0000 4.8672 0.0000
0.0000 0.0000 4.8672
Ag Bi W
1 1 3
direct
0.0000 0.0000 0.0000
0.5000 0.5000 0.5000
0.0000 0.0000 0.5000
0.0000 0.5000 0.0000
0.5000 0.0000 0.0000
```